This record from the Alexandria database describes a relaxed structure of TaTiMo4. The functional is PBE.

Results
**Polymorph energy (0 for the lowest one)**: 0.000 eV per atom
**DOS at the Fermi energy**: 0.665 states/eV/atom
**Symmetry**: No. 65
**ΔH_f (0 K)**: -106 kJ/mol of formula units
**Total magnetic moment**: 0.00 μB/atom
**ρ**: 10.5 g cm⁻³
**Crystal system**: orthorhombic

Unit cell a=4.4927 b=4.4768 c=5.3270 alpha=90.00 beta=114.94 gamma=90.00
Sites, in units of the cell vectors:
Ta  0.0000  0.0000  0.0000
Ti  0.5000  0.5000  0.0000
Mo  0.3293  0.0000  0.6585
Mo  0.6707  0.0000  0.3415
Mo  0.8277  0.5000  0.6553
Mo  0.1723  0.5000  0.3447